# Pr2Al3Ag2, relaxed, DFT PBE
# Total moment   0.000 μB/atom
# Energy of formation   -361 meV per atom
data_Pr2Al3Ag2
_space_group_name_H-M_alt 'C 1 2/m 1'
_space_group_IT_number 12
_cell_length_a 10.9355
_cell_length_b 4.5665
_cell_length_c 6.8827
_cell_angle_alpha 90.00
_cell_angle_beta 114.23
_cell_angle_gamma 90.00
loop_
_space_group_symop_operation_xyz
'x,y,z'
'-x,-y,-z'
'-x,y,-z'
'x,-y,z'
'x+1/2,y+1/2,z'
'-x+1/2,-y+1/2,-z'
'-x+1/2,y+1/2,-z'
'x+1/2,-y+1/2,z'
loop_
_atom_site_label
_atom_site_type_symbol
_atom_site_fract_x
_atom_site_fract_y
_atom_site_fract_z
Pr1 Pr 0.1535 0.0000 0.2773
Al1 Al 0.0000 0.5000 0.5000
Al2 Al 0.0957 0.5000 0.9264
Ag1 Ag 0.1454 0.0000 0.7557